This record from the Alexandria database describes a relaxed structure of Ac2CoRuO6. The functional is PBE with a Hubbard U.

Cell lengths 5.6666, 5.6663, 8.0982 Å; angles 90.00, 90.00, 90.00 degrees
Closest atoms and distances in Å follow each position.
Positions (direct):
Ac  0.0000  0.2500  0.7500  12 O 2.83-2.85
Ac  0.5000  0.7500  0.2500  12 O 2.83-2.85
Ac  0.5000  0.7500  0.7500  12 O 2.83-2.85
Ac  0.0000  0.2500  0.2500  12 O 2.83-2.85
O  0.2502  0.4999  0.0000  1 Co 2.00, 1 Ru 2.00
O  0.7502  0.5001  0.5000  1 Co 2.00, 1 Ru 2.00
O  0.0000  0.7500  0.7552  1 Ru 1.98, 1 Co 2.07
O  0.5000  0.2500  0.7448  1 Ru 1.98, 1 Co 2.07
O  0.5000  0.2500  0.2552  1 Ru 1.98, 1 Co 2.07
O  0.0000  0.7500  0.2448  1 Ru 1.98, 1 Co 2.07
O  0.2499  0.9998  0.5000  1 Co 2.00, 1 Ru 2.00
O  0.7498  0.4999  0.0000  1 Co 2.00, 1 Ru 2.00
O  0.2501  0.0002  0.0000  1 Co 2.00, 1 Ru 2.00
O  0.2498  0.5001  0.5000  1 Co 2.00, 1 Ru 2.00
O  0.7501  0.9998  0.5000  1 Co 2.00, 1 Ru 2.00
O  0.7499  0.0002  0.0000  1 Co 2.00, 1 Ru 2.00
Ru  0.0000  0.7500  0.0000  6 O 1.98-2.00
Ru  0.5000  0.2500  0.5000  6 O 1.98-2.00
Co  0.5000  0.2500  0.0000  6 O 2.00-2.07
Co  0.0000  0.7500  0.5000  6 O 2.00-2.07

Total moment ... 10.00 Bohr magnetons per cell
SG ... No. 139
DOS(E_F) ... 7.7 states/eV/cell
V ... 13.00 A^3/atom
Calculated density ... 9.07 g/cm³
Uncorrected energy ... -7.421 eV/atom